Record 1
Here is crystalline MnHgSb2Te at its relaxed geometry from Alexandria via LeMat-Bulk. Energies are from PBE.

POSCAR file:
```
MnHgSb2Te
1.0
5.477 0.000 0.000
0.000 5.477 0.000
0.000 0.000 5.594
Mn Hg Sb Te
1 1 2 1
Cartesian
0.000 0.000 0.000
2.738 2.738 2.797
0.000 2.738 2.797
2.738 0.000 2.797
2.738 2.738 0.000
```

Computed properties:
Excess energy over the best structure of this formula in the dataset in kJ per mole of atoms: 119.6


Record 2
Here is crystalline Li2La2Hg at its relaxed geometry from Alexandria via LeMat-Bulk. Energies are from PBE.

POSCAR file:
```
Li2La2Hg
1.0
6.948 0.000 0.000
0.000 6.948 0.000
0.000 0.000 5.296
Li La Hg
4 4 2
Cartesian
0.936 2.538 0.000
2.538 6.012 0.000
4.411 0.936 0.000
6.012 4.411 0.000
1.229 4.703 2.648
2.245 1.229 2.648
4.703 5.719 2.648
5.719 2.245 2.648
0.000 0.000 0.000
3.474 3.474 0.000
```

Computed properties:
Excess energy over the best structure of this formula in the dataset in kJ per mole of atoms: 0.0
ΔH_f (0 K) in eV/atom: -0.142


Record 3
Here is crystalline ZrWCl2 at its relaxed geometry from Alexandria via LeMat-Bulk. Energies are from PBE.

POSCAR file:
```
ZrWCl2
1.0
-2.117 2.117 8.390
2.117 -2.117 8.390
2.117 2.117 -8.390
Zr W Cl
2 2 4
Cartesian
0.000 0.000 0.000
0.000 2.117 4.195
2.117 0.000 4.195
0.000 0.000 8.390
1.059 -1.000 6.293
1.117 1.059 2.098
1.059 3.117 -2.098
1.000 1.059 10.488
```

Computed properties:
Excess energy over the best structure of this formula in the dataset in kJ per mole of atoms: 60.8


Record 4
Here is crystalline Ta2CdHg at its relaxed geometry from Alexandria via LeMat-Bulk. Energies are from PBE.

POSCAR file:
```
Ta2CdHg
1.0
5.127 0.000 0.000
0.000 5.127 0.000
0.000 0.000 2.931
Ta Cd Hg
2 1 1
Cartesian
0.000 2.564 0.000
2.564 0.000 0.000
0.000 0.000 1.466
2.564 2.564 1.466
```

Computed properties:
Excess energy over the best structure of this formula in the dataset in kJ per mole of atoms: 40.3
ΔH_f (0 K) in eV/atom: 0.585


Record 5
Here is crystalline LiAc2Al4Cu3 at its relaxed geometry from Alexandria via LeMat-Bulk. Energies are from PBE.

POSCAR file:
```
LiAc2Al4Cu3
1.0
4.471 0.000 0.000
0.000 4.471 0.000
0.000 0.000 10.252
Li Ac Al Cu
1 2 4 3
Cartesian
0.000 0.000 0.000
0.000 2.236 7.723
2.236 0.000 2.529
0.000 0.000 5.126
0.000 2.236 1.308
2.236 0.000 8.943
2.236 2.236 5.126
0.000 2.236 3.833
2.236 0.000 6.419
2.236 2.236 0.000
```

Computed properties:
ΔH_f (0 K) in eV/atom: -0.278


Record 6
Here is crystalline Sr3CaHg at its relaxed geometry from Alexandria via LeMat-Bulk. Energies are from PBE.

POSCAR file:
```
Sr3CaHg
1.0
6.618 -4.992 0.000
6.618 4.992 0.000
-5.464 0.000 7.041
Sr Ca Hg
6 2 2
Cartesian
-1.153 0.000 1.978
2.459 2.055 1.826
2.459 -2.055 1.826
5.314 2.055 5.215
5.314 -2.055 5.215
8.926 0.000 5.063
1.547 0.000 5.216
6.226 0.000 1.825
-1.414 0.000 6.654
9.187 0.000 0.388
```

Computed properties:
Excess energy over the best structure of this formula in the dataset in kJ per mole of atoms: 4.7
ΔH_f (0 K) in eV/atom: -0.170


Record 7
Here is crystalline AcTiCd4 at its relaxed geometry from Alexandria via LeMat-Bulk. Energies are from PBE.

POSCAR file:
```
AcTiCd4
1.0
0.000 4.210 4.210
4.210 0.000 4.210
4.210 4.210 0.000
Ac Ti Cd
1 1 4
Cartesian
0.000 0.000 0.000
2.105 2.105 2.105
5.254 3.167 3.167
3.167 5.254 3.167
3.167 3.167 5.254
5.254 5.254 5.254
```

Computed properties:
ΔH_f (0 K) in eV/atom: -0.018


Record 8
Here is crystalline In3AsSe6 at its relaxed geometry from Alexandria via LeMat-Bulk. Energies are from PBE.

POSCAR file:
```
In3AsSe6
1.0
4.038 0.000 0.000
-1.891 11.167 0.000
-0.834 -4.588 13.099
In As Se
6 2 12
Cartesian
-0.357 1.503 1.348
-0.499 6.532 3.767
-0.211 3.753 8.958
1.524 2.825 4.142
1.812 0.046 9.332
1.670 5.076 11.751
-0.278 -2.817 9.993
1.591 9.395 3.106
-0.532 0.945 4.096
-0.461 4.394 5.242
-0.835 10.263 1.261
-0.204 -0.361 11.002
-0.799 8.889 4.888
-0.304 3.282 11.594
1.617 3.296 1.505
2.112 -2.311 8.211
1.517 6.940 2.097
2.148 -3.685 11.838
1.774 2.184 7.858
1.845 5.633 9.003
```

Computed properties:
Calculated total energy in eV/atom: -3.779